Density functional theory data (GGA-PBE) for a relaxed ReAg3Te crystal.

For the volume, the calculation gives 26.890 A^3/atom. The calculation puts the total energy at -3.285 eV per atom. As for the polymorph energy (0 for the lowest one): 0.00 eV/f.u. As for the density of states at the Fermi level: 1.004 states/eV per atom. As for the size of the total moment: 2.654 μB per cell. The value obtained for the formation energy (no corrections) is 1543.7 meV/atom.

The space group is Pm-3m (No. 221) and the conventional cell measures 5.123, 5.123 and 5.123 Å, with angles of 90.00, 90.00 and 90.00 degrees. The inequivalent atoms are Re at (0.000, 0.000, 0.000), Ag at (0.000, 0.000, 0.500) and Te at (0.500, 0.500, 0.500).